! Li2PmNiO4 | the Alexandria database | PBE with a Hubbard U | relaxed; values from VASP
! crystal system = tetragonal
! total DFT energy (no corrections) = -5.837 eV/atom
! SG = No. 121
&SYSTEM
  ibrav = 0, nat = 8, ntyp = 4
/
ATOMIC_SPECIES
Li 6.94 Li.upf
Pm 145.00 Pm.upf
Ni 58.69 Ni.upf
O 16.00 O.upf
CELL_PARAMETERS angstrom
-2.623 2.623 3.249
2.623 -2.623 3.249
2.623 2.623 -3.249
ATOMIC_POSITIONS angstrom
Li 2.623 0.000 1.624
Li 0.000 2.623 1.624
Pm 0.000 0.000 0.000
Ni 0.000 0.000 3.249
O 1.517 1.517 -1.017
O 1.107 -1.107 4.266
O 1.107 1.107 2.232
O -1.107 1.107 4.266